Density functional theory data (GGA+U) for Tl3V2F9 after structural relaxation.

For the total energy, the calculation gives -5.186 eV per atom.

It has space group R-3c (No. 167, hexagonal axes), with a = 10.6793 Å, b = 10.6793 Å, c = 14.8574 Å, α = 90.00°, β = 90.00° and γ = 120.00°. The distinct sites, in fractional coordinates, are Tl at (0.0000, 0.3457, 0.2500), V at (0.0000, 0.0000, 0.1513), F at (0.0000, 0.1382, 0.7500) and F at (0.0023, 0.1607, 0.4081).